1.
Material: Cu2Pd2Au
Method: DFT, PBE
State: optimized geometry

Space-group type: P-1
Size of the total moment, μB per cell: 0.0
Energy of formation, eV per atom: -0.10
Excess energy over the best structure of this formula in the dataset, meV/atom: 0
Raw total energy, eV/atom: -4.47

a = 4.6343 Å, b = 4.8503 Å, c = 3.9824 Å
α = 65.64°, β = 64.55°, γ = 76.04°
With the nearest neighbours (Å) after each atom.
Element x y z (fractional)
Au (0.0000, 0.5000, 0.0000)  6 Cu 2.71-2.76, 6 Pd 2.80
Cu (0.3973, 0.2866, 0.4077)  3 Cu 2.61-2.92, 6 Pd 2.65-2.83, 3 Au 2.71-2.76
Cu (0.6027, 0.7134, 0.5923)  3 Cu 2.61-2.92, 6 Pd 2.65-2.83, 3 Au 2.71-2.76
Pd (0.2116, 0.8824, 0.2029)  6 Cu 2.65-2.83, 3 Pd 2.70-2.81, 3 Au 2.80
Pd (0.7884, 0.1176, 0.7971)  6 Cu 2.65-2.83, 3 Pd 2.70-2.81, 3 Au 2.80

2.
Material: Cu2Pd5Au2
Method: DFT, PBE
State: optimized geometry

Space-group type: P-1
Size of the total moment, μB per cell: 0.0
Energy of formation, eV per atom: -0.08
Raw total energy, eV/atom: -4.60

a = 4.8236 Å, b = 6.2874 Å, c = 6.2100 Å
α = 95.63°, β = 97.49°, γ = 130.32°
With the nearest neighbours (Å) after each atom.
Element x y z (fractional)
Cu (0.6624, 0.2202, 0.8881)  3 Au 2.71-2.76, 7 Pd 2.74-2.80, 2 Cu 2.79-2.82
Cu (0.3376, 0.7798, 0.1119)  3 Au 2.71-2.76, 7 Pd 2.74-2.80, 2 Cu 2.79-2.82
Pd (0.3348, 0.1096, 0.4455)  2 Cu 2.76-2.79, 6 Pd 2.76-2.85, 4 Au 2.80-2.84
Pd (0.3237, 0.4404, 0.7849)  6 Pd 2.71-2.85, 3 Cu 2.74-2.80, 3 Au 2.77-2.89
Pd (0.6652, 0.8904, 0.5545)  2 Cu 2.76-2.79, 6 Pd 2.76-2.85, 4 Au 2.80-2.84
Pd (0.0000, 0.0000, 0.0000)  2 Au 2.74, 6 Pd 2.75-2.81, 4 Cu 2.77-2.80
Pd (0.6763, 0.5596, 0.2151)  6 Pd 2.71-2.85, 3 Cu 2.74-2.80, 3 Au 2.77-2.89
Au (0.0044, 0.6694, 0.6802)  3 Cu 2.71-2.76, 8 Pd 2.74-2.89, 1 Au 2.91
Au (0.9956, 0.3306, 0.3198)  3 Cu 2.71-2.76, 8 Pd 2.74-2.89, 1 Au 2.91

3.
Material: Cu3Pd5Au4
Method: DFT, PBE
State: optimized geometry

Space-group type: C2/m
Size of the total moment, μB per cell: 0.0
Energy of formation, eV per atom: 0.25
Raw total energy, eV/atom: -4.03

a = 4.7588 Å, b = 4.7518 Å, c = 11.4499 Å
α = 78.25°, β = 78.01°, γ = 59.95°
With the nearest neighbours (Å) after each atom.
Element x y z (fractional)
Pd (0.7236, 0.4459, 0.1069)  1 Cu 2.54, 4 Pd 2.71-2.81, 3 Au 2.74-2.76
Pd (0.5000, 0.5000, 0.5000)  4 Cu 2.38-2.42
Pd (0.6173, 0.8705, 0.8949)  1 Cu 2.47, 3 Pd 2.70-2.71, 1 Au 2.70
Pd (0.3827, 0.1295, 0.1051)  1 Cu 2.47, 3 Pd 2.70-2.71, 1 Au 2.70
Pd (0.2764, 0.5541, 0.8931)  1 Cu 2.54, 4 Pd 2.71-2.81, 3 Au 2.74-2.76
Cu (0.0000, 0.5000, 0.5000)  2 Pd 2.38, 2 Au 2.65
Cu (0.5199, 0.2529, 0.7074)  3 Pd 2.42-2.54
Cu (0.4801, 0.7471, 0.2926)  3 Pd 2.42-2.54
Au (0.8055, 0.0419, 0.3471)  4 Cu 2.65-2.89, 1 Pd 2.69, 1 Au 2.79
Au (0.9523, 0.2247, 0.8707)  7 Pd 2.70-2.90, 1 Au 2.79, 2 Cu 2.99
Au (0.0477, 0.7753, 0.1293)  7 Pd 2.70-2.90, 1 Au 2.79, 2 Cu 2.99
Au (0.1945, 0.9581, 0.6529)  4 Cu 2.65-2.89, 1 Pd 2.69, 1 Au 2.79

4.
Material: Cu2Pd3Au5
Method: DFT, PBE
State: optimized geometry

Space-group type: Ibam
Size of the total moment, μB per cell: 0.0
Energy of formation, eV per atom: 0.25
Excess energy over the best structure of this formula in the dataset, meV/atom: 181
Raw total energy, eV/atom: -3.77

a = 5.5337 Å, b = 8.7462 Å, c = 8.7462 Å
α = 92.17°, β = 71.56°, γ = 71.56°
With the nearest neighbours (Å) after each atom.
Element x y z (fractional)
Au (0.7500, 0.5000, 0.5000)  8 Au 2.74-2.89
Au (0.9959, 0.7541, 0.7541)  1 Pd 2.65, 2 Cu 2.66, 5 Au 2.74-2.87
Au (0.3708, 0.7972, 0.4611)  1 Cu 2.44
Au (0.1292, 0.5389, 0.2028)  1 Cu 2.44
Au (0.0041, 0.2459, 0.2459)  1 Pd 2.65, 2 Cu 2.66, 5 Au 2.74-2.87
Au (0.2500, 0.5000, 0.5000)  8 Au 2.74-2.89
Au (0.5041, 0.2459, 0.2459)  1 Pd 2.65, 2 Cu 2.66, 5 Au 2.74-2.87
Au (0.4959, 0.7541, 0.7541)  1 Pd 2.65, 2 Cu 2.66, 5 Au 2.74-2.87
Au (0.6292, 0.2028, 0.5389)  1 Cu 2.44
Au (0.8708, 0.4611, 0.7972)  1 Cu 2.44
Pd (0.6478, 0.5408, 0.1637)  1 Cu 2.67, 4 Au 2.79-2.98
Pd (0.7500, 0.0000, 0.0000)  4 Cu 2.53, 2 Au 2.65, 2 Pd 2.77
Pd (0.3522, 0.4592, 0.8363)  1 Cu 2.67, 4 Au 2.79-2.98
Pd (0.2500, 0.0000, 0.0000)  4 Cu 2.53, 2 Au 2.65, 2 Pd 2.77
Pd (0.1478, 0.1637, 0.5408)  1 Cu 2.67, 4 Au 2.79-2.98
Pd (0.8522, 0.8363, 0.4592)  1 Cu 2.67, 4 Au 2.79-2.98
Cu (0.8885, 0.2500, 0.9730)  3 Au 2.44-2.66, 3 Pd 2.53-2.67
Cu (0.3885, 0.9730, 0.2500)  3 Au 2.44-2.66, 3 Pd 2.53-2.67
Cu (0.1115, 0.7500, 0.0270)  3 Au 2.44-2.66, 3 Pd 2.53-2.67
Cu (0.6115, 0.0270, 0.7500)  3 Au 2.44-2.66, 3 Pd 2.53-2.67